Compound: TcSbNO
Source: OQMD
Functional: PBE
Structure: relaxed

Cell and atoms, written as POSCAR:
```
TcSbNO
1.0
4.289 0.000 0.000
0.000 4.289 0.000
0.000 0.000 5.995
Tc Sb N O
2 2 2 2
direct
0.250 0.250 0.014
0.750 0.750 0.986
0.250 0.750 0.500
0.750 0.250 0.500
0.250 0.250 0.716
0.750 0.750 0.284
0.250 0.750 0.000
0.750 0.250 0.000
```

**E above lowest polymorph**: 1.87 eV per formula unit
**DFT total energy**: -6.645 eV per atom
**Spin magnetization**: 0.3 μB per formula unit

=====

Compound: HoHfGe
Source: OQMD
Functional: PBE
Structure: relaxed

Cell and atoms, written as POSCAR:
```
HoHfGe
1.0
0.000 3.298 3.298
3.298 0.000 3.298
3.298 3.298 0.000
Ho Hf Ge
1 1 1
direct
0.000 0.000 0.000
0.500 0.500 0.500
0.750 0.750 0.750
```

**DFT total energy**: -6.652 eV per atom
**Spin magnetization**: 0.0 μB per formula unit

=====

Compound: LaCuSiPd
Source: OQMD
Functional: PBE
Structure: relaxed

Cell and atoms, written as POSCAR:
```
LaCuSiPd
1.0
0.000 3.375 3.375
3.375 0.000 3.375
3.375 3.375 0.000
La Cu Si Pd
1 1 1 1
direct
0.000 0.000 0.000
0.500 0.500 0.500
0.250 0.250 0.250
0.750 0.750 0.750
```

**E above lowest polymorph**: 0.56 eV per formula unit
**DFT total energy**: -5.047 eV per atom
**Spin magnetization**: 0.0 μB per formula unit